Density functional theory data (PBE-GGA) for TbGa6 after structural relaxation.

Geometry as CIF:
```
data_TbGa6
_chemical_formula_sum 'Tb2 Ga12'
_cell_length_a 5.9593
_cell_length_b 5.9593
_cell_length_c 7.5945
_cell_angle_alpha 90.00
_cell_angle_beta 90.00
_cell_angle_gamma 90.00
_space_group_name_H-M_alt 'P 1'
_space_group_IT_number 1
_space_group_name_Hall 'P 1'
loop_
_atom_site_label
_atom_site_type_symbol
_atom_site_fract_x
_atom_site_fract_y
_atom_site_fract_z
Tb1 Tb 0.2500 0.7500 0.0000
Tb2 Tb 0.7500 0.2500 0.0000
Ga1 Ga 0.0638 0.5638 0.3494
Ga2 Ga 0.0638 0.9362 0.6506
Ga3 Ga 0.2500 0.2500 0.1602
Ga4 Ga 0.2500 0.2500 0.8398
Ga5 Ga 0.4362 0.5638 0.6506
Ga6 Ga 0.4362 0.9362 0.3494
Ga7 Ga 0.5638 0.0638 0.6506
Ga8 Ga 0.5638 0.4362 0.3494
Ga9 Ga 0.7500 0.7500 0.1602
Ga10 Ga 0.7500 0.7500 0.8398
Ga11 Ga 0.9362 0.0638 0.3494
Ga12 Ga 0.9362 0.4362 0.6506
```

Computed properties:
Its density is 7.11 g/cm³. Its space group is No. 125. The total energy comes out at -3.58 eV per atom.

---

Density functional theory data (PBE-GGA) for TbHgAsO after structural relaxation.

Geometry as CIF:
```
data_TbHgAsO
_chemical_formula_sum 'Tb2 Hg2 As2 O2'
_cell_length_a 4.1186
_cell_length_b 4.1186
_cell_length_c 9.1855
_cell_angle_alpha 90.00
_cell_angle_beta 90.00
_cell_angle_gamma 90.00
_space_group_name_H-M_alt 'P 1'
_space_group_IT_number 1
_space_group_name_Hall 'P 1'
loop_
_atom_site_label
_atom_site_type_symbol
_atom_site_fract_x
_atom_site_fract_y
_atom_site_fract_z
Tb1 Tb 0.2500 0.2500 0.1129
Tb2 Tb 0.7500 0.7500 0.8871
Hg1 Hg 0.2500 0.7500 0.5000
Hg2 Hg 0.7500 0.2500 0.5000
As1 As 0.2500 0.2500 0.7108
As2 As 0.7500 0.7500 0.2892
O1 O 0.2500 0.7500 0.0000
O2 O 0.7500 0.2500 0.0000
```

Computed properties:
Its density is 9.60 g/cm³. Its space group is No. 129. The total energy comes out at -5.18 eV per atom.

---

Density functional theory data (PBE-GGA) for ReAg2 after structural relaxation.

Geometry as CIF:
```
data_ReAg2
_chemical_formula_sum 'Re2 Ag4'
_cell_length_a 5.1894
_cell_length_b 5.1894
_cell_length_c 5.1894
_cell_angle_alpha 60.00
_cell_angle_beta 60.00
_cell_angle_gamma 60.00
_space_group_name_H-M_alt 'P 1'
_space_group_IT_number 1
_space_group_name_Hall 'P 1'
loop_
_atom_site_label
_atom_site_type_symbol
_atom_site_fract_x
_atom_site_fract_y
_atom_site_fract_z
Re1 Re 0.1250 0.1250 0.1250
Re2 Re 0.8750 0.8750 0.8750
Ag1 Ag 0.0000 0.5000 0.5000
Ag2 Ag 0.5000 0.0000 0.5000
Ag3 Ag 0.5000 0.5000 0.0000
Ag4 Ag 0.5000 0.5000 0.5000
```

Computed properties:
Its density is 13.51 g/cm³. Its space group is No. 227. The total energy comes out at -4.93 eV per atom. The value obtained for the energy relative to the elements is 1.097 eV/atom.

---

Density functional theory data (PBE-GGA) for CuAgAsPt after structural relaxation.

Geometry as CIF:
```
data_CuAgAsPt
_chemical_formula_sum 'Cu1 Ag1 As1 Pt1'
_cell_length_a 4.4886
_cell_length_b 4.4886
_cell_length_c 4.4886
_cell_angle_alpha 60.00
_cell_angle_beta 60.00
_cell_angle_gamma 60.00
_space_group_name_H-M_alt 'P 1'
_space_group_IT_number 1
_space_group_name_Hall 'P 1'
loop_
_atom_site_label
_atom_site_type_symbol
_atom_site_fract_x
_atom_site_fract_y
_atom_site_fract_z
Cu1 Cu 0.0000 0.0000 0.0000
Ag1 Ag 0.2500 0.2500 0.2500
As1 As 0.7500 0.7500 0.7500
Pt1 Pt 0.5000 0.5000 0.5000
```

Computed properties:
Its density is 11.46 g/cm³. Its space group is No. 216. The total energy comes out at -4.26 eV per atom.

---

Density functional theory data (PBE-GGA) for ZnFeAgGe after structural relaxation.

Geometry as CIF:
```
data_ZnFeAgGe
_chemical_formula_sum 'Zn1 Fe1 Ag1 Ge1'
_cell_length_a 4.3978
_cell_length_b 4.3978
_cell_length_c 4.3978
_cell_angle_alpha 60.00
_cell_angle_beta 60.00
_cell_angle_gamma 60.00
_space_group_name_H-M_alt 'P 1'
_space_group_IT_number 1
_space_group_name_Hall 'P 1'
loop_
_atom_site_label
_atom_site_type_symbol
_atom_site_fract_x
_atom_site_fract_y
_atom_site_fract_z
Zn1 Zn 0.0000 0.0000 0.0000
Fe1 Fe 0.7500 0.7500 0.7500
Ag1 Ag 0.2500 0.2500 0.2500
Ge1 Ge 0.5000 0.5000 0.5000
```

Computed properties:
Its density is 8.33 g/cm³. Its space group is No. 216. The total energy comes out at -4.04 eV per atom.

---

Density functional theory data (PBE-GGA) for YZn2 after structural relaxation.

Geometry as CIF:
```
data_YZn2
_chemical_formula_sum 'Y2 Zn4'
_cell_length_a 7.1629
_cell_length_b 7.1629
_cell_length_c 4.7087
_cell_angle_alpha 90.00
_cell_angle_beta 90.00
_cell_angle_gamma 150.70
_space_group_name_H-M_alt 'P 1'
_space_group_IT_number 1
_space_group_name_Hall 'P 1'
loop_
_atom_site_label
_atom_site_type_symbol
_atom_site_fract_x
_atom_site_fract_y
_atom_site_fract_z
Y1 Y 0.0854 0.9146 0.7500
Y2 Y 0.9146 0.0854 0.2500
Zn1 Zn 0.2469 0.7531 0.2500
Zn2 Zn 0.3882 0.6118 0.7500
Zn3 Zn 0.6118 0.3882 0.2500
Zn4 Zn 0.7531 0.2469 0.7500
```

Computed properties:
Its density is 6.17 g/cm³. Its space group is No. 63. The total energy comes out at -3.25 eV per atom. The value obtained for the energy relative to the elements is -0.252 eV/atom.

---

Density functional theory data (PBE-GGA) for RbAsAuO after structural relaxation.

Geometry as CIF:
```
data_RbAsAuO
_chemical_formula_sum 'Rb2 As2 Au2 O2'
_cell_length_a 3.8815
_cell_length_b 5.9647
_cell_length_c 8.3871
_cell_angle_alpha 90.00
_cell_angle_beta 90.00
_cell_angle_gamma 90.00
_space_group_name_H-M_alt 'P 1'
_space_group_IT_number 1
_space_group_name_Hall 'P 1'
loop_
_atom_site_label
_atom_site_type_symbol
_atom_site_fract_x
_atom_site_fract_y
_atom_site_fract_z
Rb1 Rb 0.0000 0.1441 0.0000
Rb2 Rb 0.0000 0.8559 0.5000
As1 As 0.5000 0.3050 0.6445
As2 As 0.5000 0.6950 0.1445
Au1 Au 0.5000 0.3841 0.3492
Au2 Au 0.5000 0.6159 0.8492
O1 O 0.0000 0.2890 0.3251
O2 O 0.0000 0.7110 0.8251
```

Computed properties:
Its density is 6.39 g/cm³. Its space group is No. 26. The total energy comes out at -3.63 eV per atom.

---

Density functional theory data (PBE-GGA) for TbTm2Si4Pd4 after structural relaxation.

Geometry as CIF:
```
data_TbTm2Si4Pd4
_chemical_formula_sum 'Tb1 Tm2 Si4 Pd4'
_cell_length_a 7.9070
_cell_length_b 7.9070
_cell_length_c 7.9070
_cell_angle_alpha 150.04
_cell_angle_beta 127.68
_cell_angle_gamma 61.47
_space_group_name_H-M_alt 'P 1'
_space_group_IT_number 1
_space_group_name_Hall 'P 1'
loop_
_atom_site_label
_atom_site_type_symbol
_atom_site_fract_x
_atom_site_fract_y
_atom_site_fract_z
Tb1 Tb 0.0000 0.0000 0.0000
Tm1 Tm 0.3754 0.8754 0.5000
Tm2 Tm 0.6246 0.1246 0.5000
Si1 Si 0.2201 0.2201 0.0000
Si2 Si 0.3200 0.5000 0.8200
Si3 Si 0.6800 0.5000 0.1800
Si4 Si 0.7799 0.7799 0.0000
Pd1 Pd 0.0270 0.3254 0.7017
Pd2 Pd 0.3763 0.6746 0.7017
Pd3 Pd 0.6237 0.3254 0.2983
Pd4 Pd 0.9730 0.6746 0.2983
```

Computed properties:
Its density is 8.87 g/cm³. Its space group is No. 71. The total energy comes out at -6.06 eV per atom.

---

Density functional theory data (PBE-GGA) for K4BiPPt2 after structural relaxation.

Geometry as CIF:
```
data_K4BiPPt2
_chemical_formula_sum 'K4 Bi1 P1 Pt2'
_cell_length_a 5.8990
_cell_length_b 6.5151
_cell_length_c 6.5151
_cell_angle_alpha 104.68
_cell_angle_beta 90.00
_cell_angle_gamma 90.00
_space_group_name_H-M_alt 'P 1'
_space_group_IT_number 1
_space_group_name_Hall 'P 1'
loop_
_atom_site_label
_atom_site_type_symbol
_atom_site_fract_x
_atom_site_fract_y
_atom_site_fract_z
K1 K 0.0000 0.1689 0.8311
K2 K 0.0000 0.8311 0.1689
K3 K 0.5000 0.5077 0.8739
K4 K 0.5000 0.8739 0.5077
Bi1 Bi 0.0000 0.6069 0.6069
P1 P 0.5000 0.0975 0.0975
Pt1 Pt 0.2440 0.3131 0.3131
Pt2 Pt 0.7560 0.3131 0.3131
```

Computed properties:
Its density is 5.39 g/cm³. Its space group is No. 38. The total energy comes out at -3.62 eV per atom.

---

Density functional theory data (PBE-GGA) for Pm4Bi3Te after structural relaxation.

Geometry as CIF:
```
data_Pm4Bi3Te
_chemical_formula_sum 'Pm4 Bi3 Te1'
_cell_length_a 7.8631
_cell_length_b 7.8631
_cell_length_c 4.5488
_cell_angle_alpha 90.00
_cell_angle_beta 90.00
_cell_angle_gamma 109.50
_space_group_name_H-M_alt 'P 1'
_space_group_IT_number 1
_space_group_name_Hall 'P 1'
loop_
_atom_site_label
_atom_site_type_symbol
_atom_site_fract_x
_atom_site_fract_y
_atom_site_fract_z
Pm1 Pm 0.2482 0.2482 0.5000
Pm2 Pm 0.2493 0.7507 0.0000
Pm3 Pm 0.7507 0.2493 0.0000
Pm4 Pm 0.7518 0.7518 0.5000
Bi1 Bi 0.0000 0.0000 0.0000
Bi2 Bi 0.0000 0.5000 0.5000
Bi3 Bi 0.5000 0.0000 0.5000
Te1 Te 0.5000 0.5000 0.0000
```

Computed properties:
Its density is 8.36 g/cm³. Its space group is No. 65. The total energy comes out at -5.38 eV per atom.

---

Density functional theory data (PBE-GGA) for KGaCu after structural relaxation.

Geometry as CIF:
```
data_KGaCu
_chemical_formula_sum 'K1 Ga1 Cu1'
_cell_length_a 5.1656
_cell_length_b 5.1656
_cell_length_c 5.1656
_cell_angle_alpha 60.00
_cell_angle_beta 60.00
_cell_angle_gamma 60.00
_space_group_name_H-M_alt 'P 1'
_space_group_IT_number 1
_space_group_name_Hall 'P 1'
loop_
_atom_site_label
_atom_site_type_symbol
_atom_site_fract_x
_atom_site_fract_y
_atom_site_fract_z
K1 K 0.0000 0.0000 0.0000
Ga1 Ga 0.2500 0.2500 0.2500
Cu1 Cu 0.7500 0.7500 0.7500
```

Computed properties:
Its density is 2.94 g/cm³. Its space group is No. 216. The total energy comes out at -1.80 eV per atom.

---

Density functional theory data (PBE-GGA) for CsLiRe after structural relaxation.

Geometry as CIF:
```
data_CsLiRe
_chemical_formula_sum 'Cs1 Li1 Re1'
_cell_length_a 5.2439
_cell_length_b 5.2439
_cell_length_c 5.2439
_cell_angle_alpha 60.00
_cell_angle_beta 60.00
_cell_angle_gamma 60.00
_space_group_name_H-M_alt 'P 1'
_space_group_IT_number 1
_space_group_name_Hall 'P 1'
loop_
_atom_site_label
_atom_site_type_symbol
_atom_site_fract_x
_atom_site_fract_y
_atom_site_fract_z
Cs1 Cs 0.0000 0.0000 0.0000
Li1 Li 0.5000 0.5000 0.5000
Re1 Re 0.2500 0.2500 0.2500
```

Computed properties:
Its density is 5.31 g/cm³. Its space group is No. 216. The total energy comes out at -3.00 eV per atom.